# 1
Density functional theory data (PBEsol) for a geometry-optimized HgAsRu2 structure.

Cell: 4.408 4.408 4.408 Å, 60.00 60.00 60.00°
Fractional positions:
As 0.500 0.500 0.500
Hg 0.000 0.000 0.000
Ru 0.750 0.750 0.750
Ru 0.250 0.250 0.250

Computed properties:
**ρ**: 13.10 Mg/m³
**Energy above the lowest structure with this stoichiometry**: 5.14 kcal/mol of atoms
**ΔH_f (0 K)**: 359 meV per atom
**Symmetry**: Fm-3m (225)
**Total magnetic moment**: 0.00 μB per formula unit

---

# 2
Density functional theory data (PBEsol) for a geometry-optimized HgAsRu2 structure.

Cell: 2.989 2.989 6.768 Å, 90.00 90.00 90.00°
Fractional positions:
Hg 0.500 0.500 0.500
Ru 0.000 0.000 0.207
Ru 0.000 0.000 0.793
As 0.500 0.500 0.000

Computed properties:
**ρ**: 13.12 Mg/m³
**Energy above the lowest structure with this stoichiometry**: 0.00 kcal/mol of atoms
**ΔH_f (0 K)**: 136 meV per atom
**Symmetry**: P4/mmm (123)
**Total magnetic moment**: 0.00 μB per formula unit

---

# 3
Density functional theory data (PBEsol) for a geometry-optimized HgAsRu structure.

Cell: 3.056 3.056 6.627 Å, 90.00 90.00 120.00°
Fractional positions:
Ru 0.333 0.667 0.301
As 0.000 0.000 0.055
Hg 0.667 0.333 0.644

Computed properties:
**ρ**: 11.67 Mg/m³
**ΔH_f (0 K)**: 54 meV per atom
**Symmetry**: P3m1 (156)
**Total magnetic moment**: 0.00 μB per formula unit

---

- Among the records above, which one has the highest ρ?
  number 2

---

- Number 3 is which compound?
  HgAsRu

---

- The lowest ρ belongs to which entry?
  HgAsRu

---

- Which formula does entry 1 have?
  HgAsRu2